# Be2NiIrO8

A geometry-optimized Be2NiIrO8 structure (GGA+U, the Alexandria database).

Cell lengths 5.243, 5.243, 5.405 Å; angles 90.00, 90.00, 120.00 degrees
Last column: magnetic moment on the atom in μB.
Positions (direct):
Be1 0.667 0.333 0.299  -0.01
Be2 0.333 0.667 0.701  -0.01
Ni1 0.000 0.000 0.500  1.72
Ir1 0.000 0.000 0.000  -0.37
O1 0.838 0.162 0.225  0.07
O2 0.838 0.676 0.225  0.07
O3 0.324 0.162 0.225  0.07
O4 0.676 0.838 0.775  0.07
O5 0.333 0.667 0.391  1.05
O6 0.667 0.333 0.609  1.05
O7 0.162 0.838 0.775  0.07
O8 0.162 0.324 0.775  0.07

## Properties
Its symmetry is P-3m1 (164). Its density is 5.12 Mg/m³. The total energy comes out at -5.654 eV/atom.